1.
Material: DyScPd2
Method: DFT, PBE
State: optimized geometry

Unit cell a=4.8365 b=4.8365 c=4.8365 alpha=60.00 beta=60.00 gamma=60.00
Closest atoms and distances in Å follow each position.
Sites, in units of the cell vectors:
Sc: 0.5000 0.5000 0.5000  8 Pd 2.96
Pd: 0.2500 0.2500 0.2500  4 Sc 2.96, 4 Dy 2.96
Pd: 0.7500 0.7500 0.7500  4 Dy 2.96, 4 Sc 2.96
Dy: 0.0000 0.0000 0.0000  8 Pd 2.96

Output
V, Å³ per atom: 20.00
Density, g cm⁻³: 8.724
Energy above the most stable polymorph in this dataset, meV per atom: 38
Fermi-level density of states, states/eV per cell: 3.658
Final energy, eV/f.u.: -24.78

---

2.
Material: Rb2UHgI6
Method: DFT, PBE
State: optimized geometry

Unit cell a=9.5635 b=9.5635 c=9.5635 alpha=56.55 beta=56.55 gamma=56.55
Closest atoms and distances in Å follow each position.
Sites, in units of the cell vectors:
Rb: 0.2088 0.2088 0.2088  6 I 3.74-3.81
Rb: 0.6855 0.6855 0.6855  6 I 3.75-3.77
U: 0.0133 0.0133 0.0133  6 I 3.03
Hg: 0.5100 0.5100 0.5100  6 I 3.95-4.01, 1 Rb 4.21
I: 0.3556 0.0913 0.8148  1 U 3.03
I: 0.0913 0.8148 0.3556  1 U 3.03
I: 0.9296 0.2187 0.6728  1 U 3.03
I: 0.6728 0.9296 0.2187  1 U 3.03
I: 0.8148 0.3556 0.0913  1 U 3.03
I: 0.2187 0.6728 0.9296  1 U 3.03

Output
E_form (uncorrected), meV/atom: -1013
V, Å³ per atom: 56.92
Density, g cm⁻³: 4.000
Fermi-level density of states, states/eV per cell: 11.201
Final energy, eV/f.u.: -32.95

---

3.
Material: CeHo2ReC4
Method: DFT, PBE
State: optimized geometry

Unit cell a=3.5085 b=6.2906 c=12.1673 alpha=90.00 beta=90.00 gamma=106.19
Closest atoms and distances in Å follow each position.
Sites, in units of the cell vectors:
Ce: 0.0938 0.1877 0.7500  6 C 2.74-2.85
Ce: 0.9062 0.8123 0.2500  6 C 2.74-2.85
Ho: 0.3713 0.7425 0.5395  6 C 2.39-2.65
Ho: 0.6287 0.2575 0.0395  6 C 2.39-2.65
Ho: 0.6287 0.2575 0.4605  6 C 2.39-2.65
Ho: 0.3713 0.7425 0.9605  6 C 2.39-2.65
Re: 0.8322 0.6644 0.7500  4 C 1.88-2.05
Re: 0.1678 0.3356 0.2500  4 C 1.88-2.05
C: 0.2656 0.5312 0.1297  1 Re 1.88
C: 0.7344 0.4688 0.6297  1 Re 1.88
C: 0.7344 0.4688 0.8703  1 Re 1.88
C: 0.2656 0.5312 0.3703  1 Re 1.88
C: 0.0000 0.0000 0.5000  4 Ho 2.39
C: 0.0000 0.0000 0.0000  4 Ho 2.39
C: 0.4200 0.8399 0.7500  2 Re 2.05
C: 0.5800 0.1601 0.2500  2 Re 2.05

Output
V, Å³ per atom: 16.12
Density, g cm⁻³: 9.069
Fermi-level density of states, states/eV per cell: 11.259
Final energy, eV/f.u.: -65.18

---

4.
Material: BeTlCr2
Method: DFT, PBE
State: optimized geometry

Unit cell a=3.3963 b=4.0110 c=4.3541 alpha=90.00 beta=90.00 gamma=90.00
Closest atoms and distances in Å follow each position.
Sites, in units of the cell vectors:
Cr: 0.0000 0.0000 0.0000  4 Cr 2.63, 4 Tl 2.76
Cr: 0.5000 0.5000 0.0000  4 Cr 2.63, 4 Be 2.76
Tl: 0.5000 0.0000 0.5000  4 Be 2.63, 4 Cr 2.76
Be: 0.0000 0.5000 0.5000  4 Tl 2.63, 4 Cr 2.76

Output
V, Å³ per atom: 14.83
Density, g cm⁻³: 8.885
Energy above the most stable polymorph in this dataset, meV per atom: 163
Fermi-level density of states, states/eV per cell: 2.145
Final energy, eV/f.u.: -22.99

---

5.
Material: ZrIrPb2
Method: DFT, PBE
State: optimized geometry

Unit cell a=9.5295 b=9.5295 c=9.5295 alpha=20.05 beta=20.05 gamma=20.05
Closest atoms and distances in Å follow each position.
Sites, in units of the cell vectors:
Ir: 0.7500 0.7500 0.7500  6 Pb 2.84
Pb: 0.0084 0.0084 0.0084  3 Ir 2.84
Pb: 0.4916 0.4916 0.4916  3 Ir 2.84
Zr: 0.2500 0.2500 0.2500  6 Pb 3.20, 6 Zr 3.32

Output
V, Å³ per atom: 22.24
Density, g cm⁻³: 13.025
Energy above the most stable polymorph in this dataset, meV per atom: 362
Fermi-level density of states, states/eV per cell: 3.947
Final energy, eV/f.u.: -23.62

---

6.
Material: CoReN2
Method: DFT, PBE
State: optimized geometry

Unit cell a=4.4603 b=4.4603 c=5.4507 alpha=65.85 beta=65.85 gamma=90.00
Closest atoms and distances in Å follow each position.
Sites, in units of the cell vectors:
Re: 0.0000 0.0000 0.0000  4 N 1.95
Re: 0.7500 0.2500 0.5000  4 N 1.95
Co: 0.5000 0.5000 0.0000  4 N 1.91
Co: 0.2500 0.7500 0.5000  4 N 1.91
N: 0.6161 0.1250 0.2500  2 Co 1.91, 2 Re 1.95
N: 0.1339 0.6250 0.2500  2 Co 1.91, 2 Re 1.95
N: 0.3750 0.3839 0.7500  2 Co 1.91, 2 Re 1.95
N: 0.8750 0.8661 0.7500  2 Co 1.91, 2 Re 1.95

Output
E_form (uncorrected), meV/atom: 161
V, Å³ per atom: 11.06
Density, g cm⁻³: 10.257
Energy above the most stable polymorph in this dataset, meV per atom: 0
Fermi-level density of states, states/eV per cell: 6.326
Final energy, eV/f.u.: -35.56

---

Q: What is the V in the first record?
A: 20.00 Å³ per atom

---

Q: Among the records above, which one has the lowest Fermi-level density of states?
A: BeTlCr2